[1]
NaHfInPd, optimized geometry, DFT PBE-GGA; crystal system = cubic; E = -19.53 eV/f.u.
1.0
0.000 3.425 3.425
3.425 0.000 3.425
3.425 3.425 0.000
Na Hf In Pd
1 1 1 1
direct
0.000 0.000 0.000
0.500 0.500 0.500
0.750 0.750 0.750
0.250 0.250 0.250

***

[2]
NaHfInPd, optimized geometry, DFT PBE-GGA; crystal system = cubic; E = -19.91 eV/f.u.
1.0
0.000 3.344 3.344
3.344 0.000 3.344
3.344 3.344 0.000
Na Hf In Pd
1 1 1 1
direct
0.000 0.000 0.000
0.250 0.250 0.250
0.750 0.750 0.750
0.500 0.500 0.500

***

Energy above the most stable polymorph in this dataset, record by record: 37; 0 kJ/mol of formula units
Volume, record by record: 20.081; 18.701 A^3/atom